Material: TaIrS2N
Method: DFT, meta-GGA SCAN
State: single point on PBEsol structure

```
TaIrS2N
1.0
3.5918 0.0000 0.0000
0.0000 4.7453 0.0000
0.0000 0.0000 4.7453
N S Ir Ta
1 2 1 1
direct
0.5000 0.0000 0.0000
0.0000 0.0000 0.5000
0.0000 0.5000 0.0000
0.0000 0.0000 0.0000
0.5000 0.5000 0.5000
```

Results
* formation energy without anion corrections: 0.7001 eV per atom